No. 1
A geometry-optimized TlPt2N3 structure. Source: OQMD via LeMat-Bulk, functional PBE. Values from VASP.

Properties
* total energy: -68.0 eV per cell
* volume: 15.52 Å³ per atom

The structure in Quantum ESPRESSO input format:
```
&SYSTEM
  ibrav = 0, nat = 12, ntyp = 3
/
ATOMIC_SPECIES
Tl 204.38 Tl.upf
Pt 195.08 Pt.upf
N 14.01 N.upf
ATOMIC_POSITIONS crystal
Tl 0.333 0.667 0.465
Tl 0.667 0.333 0.535
Pt 0.000 0.000 0.000
Pt 0.000 0.500 0.000
Pt 0.500 0.000 0.000
Pt 0.500 0.500 0.000
N 0.172 0.343 0.827
N 0.172 0.828 0.827
N 0.343 0.172 0.173
N 0.657 0.828 0.827
N 0.828 0.172 0.173
N 0.828 0.657 0.173
CELL_PARAMETERS angstrom
6.372 0.000 0.000
-3.186 5.519 0.000
0.000 0.000 5.295
```



No. 2
A geometry-optimized MgZrTl2Cl6 structure. Source: OQMD via LeMat-Bulk, functional PBE. Values from VASP.

Properties
* total energy: -38.6 eV per cell
* volume: 26.51 Å³ per atom

The structure in Quantum ESPRESSO input format:
```
&SYSTEM
  ibrav = 0, nat = 10, ntyp = 4
/
ATOMIC_SPECIES
Mg 24.30 Mg.upf
Zr 91.22 Zr.upf
Tl 204.38 Tl.upf
Cl 35.45 Cl.upf
ATOMIC_POSITIONS crystal
Mg 0.000 0.000 0.000
Zr 0.500 0.500 0.500
Tl 0.257 0.257 0.257
Tl 0.743 0.743 0.743
Cl 0.242 0.746 0.246
Cl 0.246 0.242 0.746
Cl 0.254 0.754 0.758
Cl 0.746 0.246 0.242
Cl 0.754 0.758 0.254
Cl 0.758 0.254 0.754
CELL_PARAMETERS angstrom
3.550 2.050 6.070
-3.550 2.050 6.070
0.000 -4.100 6.070
```